# 1
First-principles (PBE) data for crystalline PrPuMgSi at its relaxed geometry, as listed in Alexandria.

a b c (Å): 5.198 5.198 5.198
angles (deg): 60.00 60.00 60.00
Fractional coordinates of all 4 atoms:
Pr (0.000, 0.000, 0.000)
Pu (0.500, 0.500, 0.500)
Si (0.750, 0.750, 0.750)
Mg (0.250, 0.250, 0.250)

ΔE_f (raw) in eV per atom: -0.116
DOS(E_F) in states/eV per atom: 2.34

---

# 2
First-principles (PBE) data for crystalline ZnGaP2S at its relaxed geometry, as listed in Alexandria.

a b c (Å): 4.648 4.648 4.879
angles (deg): 90.00 90.00 90.00
Fractional coordinates of all 5 atoms:
P (0.500, 0.000, 0.000)
P (0.000, 0.500, 0.000)
Zn (0.000, 0.000, 0.000)
Ga (0.500, 0.500, 0.500)
S (0.000, 0.000, 0.500)

E above lowest polymorph in meV/atom: 0
ΔE_f (raw) in eV per atom: 0.766
DOS(E_F) in states/eV per atom: 0.88

---

# 3
First-principles (PBE) data for crystalline NpUNiAu at its relaxed geometry, as listed in Alexandria.

a b c (Å): 4.704 4.704 4.704
angles (deg): 60.00 60.00 60.00
Fractional coordinates of all 4 atoms:
Ni (0.750, 0.750, 0.750)
Np (0.250, 0.250, 0.250)
Au (0.500, 0.500, 0.500)
U (0.000, 0.000, 0.000)

Formation enthalpy at 0 K in eV/atom: -0.122
DOS(E_F) in states/eV per atom: 1.30

---

# 4
First-principles (PBE) data for crystalline K3TlF4 at its relaxed geometry, as listed in Alexandria.

a b c (Å): 5.490 5.490 6.725
angles (deg): 114.10 114.10 89.98
Fractional coordinates of all 8 atoms:
K (0.750, 0.250, 0.500)
K (0.250, 0.750, 0.500)
K (0.500, 0.500, 0.000)
F (0.257, 0.257, 0.513)
F (0.500, 0.000, 0.000)
F (0.000, 0.500, 0.000)
F (0.743, 0.743, 0.487)
Tl (0.000, 0.000, 0.000)

E above lowest polymorph in meV/atom: 0
ΔE_f (raw) in eV per atom: -2.481
DOS(E_F) in states/eV per atom: 0.00

---

# 5
First-principles (PBE) data for crystalline Y2CrP at its relaxed geometry, as listed in Alexandria.

a b c (Å): 4.852 4.852 3.673
angles (deg): 90.00 90.00 90.07
Fractional coordinates of all 4 atoms:
Cr (0.500, 0.000, 0.500)
Y (0.500, 0.500, 0.000)
Y (0.000, 0.000, 0.000)
P (0.000, 0.500, 0.500)

Formation enthalpy at 0 K in eV/atom: -0.285
DOS(E_F) in states/eV per atom: 0.82

---

# 6
First-principles (PBE) data for crystalline Ac6Os2I3Cl at its relaxed geometry, as listed in Alexandria.

a b c (Å): 7.732 7.732 9.010
angles (deg): 98.16 98.16 120.00
Fractional coordinates of all 12 atoms:
Cl (0.000, 0.000, 0.000)
I (0.835, 0.165, 0.500)
I (0.500, 0.500, 0.500)
I (0.165, 0.835, 0.500)
Ac (0.937, 0.574, 0.811)
Ac (0.574, 0.937, 0.811)
Ac (0.426, 0.063, 0.189)
Ac (0.063, 0.426, 0.189)
Ac (0.300, 0.300, 0.812)
Ac (0.700, 0.700, 0.188)
Os (0.667, 0.333, 0.000)
Os (0.333, 0.667, 0.000)

ΔE_f (raw) in eV per atom: -0.891
DOS(E_F) in states/eV per atom: 0.25

---

# 7
First-principles (PBE) data for crystalline Pr2YErTe5 at its relaxed geometry, as listed in Alexandria.

a b c (Å): 5.512 5.512 11.537
angles (deg): 90.00 90.00 90.00
Fractional coordinates of all 9 atoms:
Te (0.500, 0.000, 0.500)
Te (0.000, 0.000, 0.754)
Te (0.500, 0.500, 0.000)
Te (0.000, 0.500, 0.500)
Te (0.000, 0.000, 0.246)
Pr (0.500, 0.500, 0.668)
Pr (0.500, 0.500, 0.332)
Y (0.000, 0.000, 0.000)
Er (0.000, 0.000, 0.500)

ΔE_f (raw) in eV per atom: -0.851
DOS(E_F) in states/eV per atom: 0.64

---

# 8
First-principles (PBE) data for crystalline Cs2ZrHgI6 at its relaxed geometry, as listed in Alexandria.

a b c (Å): 9.058 9.058 9.059
angles (deg): 60.01 60.01 90.00
Fractional coordinates of all 10 atoms:
I (0.275, 0.275, 0.000)
I (0.725, 0.275, 0.000)
I (0.725, 0.725, 0.549)
I (0.275, 0.725, 0.000)
I (0.275, 0.275, 0.451)
I (0.725, 0.725, 0.000)
Hg (0.000, 0.000, 0.000)
Cs (0.250, 0.750, 0.500)
Cs (0.750, 0.250, 0.500)
Zr (0.500, 0.500, 0.000)

E above lowest polymorph in meV/atom: 25
ΔE_f (raw) in eV per atom: -1.062
DOS(E_F) in states/eV per atom: 0.00

---

# 9
First-principles (PBE) data for crystalline TcIrW at its relaxed geometry, as listed in Alexandria.

a b c (Å): 6.263 6.263 2.757
angles (deg): 77.29 77.29 25.43
Fractional coordinates of all 3 atoms:
W (0.666, 0.666, 0.334)
Tc (0.337, 0.337, 0.663)
Ir (0.997, 0.997, 0.003)

E above lowest polymorph in meV/atom: 32
Formation enthalpy at 0 K in eV/atom: -0.067
DOS(E_F) in states/eV per atom: 1.01

---

# 10
First-principles (PBE) data for crystalline NaSr2GeF at its relaxed geometry, as listed in Alexandria.

a b c (Å): 5.194 5.194 4.634
angles (deg): 90.00 90.00 90.00
Fractional coordinates of all 5 atoms:
Ge (0.500, 0.500, 0.500)
Na (0.000, 0.000, 0.500)
F (0.000, 0.000, 0.000)
Sr (0.000, 0.500, 0.000)
Sr (0.500, 0.000, 0.000)

E above lowest polymorph in meV/atom: 0
ΔE_f (raw) in eV per atom: -1.336
DOS(E_F) in states/eV per atom: 0.08

---

# 11
First-principles (PBE) data for crystalline CaSm2In2 at its relaxed geometry, as listed in Alexandria.

a b c (Å): 5.456 6.565 10.114
angles (deg): 64.85 74.38 65.67
Fractional coordinates of all 10 atoms:
In (0.629, 0.287, 0.958)
In (0.129, 0.787, 0.458)
In (0.871, 0.213, 0.542)
In (0.371, 0.713, 0.042)
Ca (0.250, 0.250, 0.750)
Ca (0.750, 0.750, 0.250)
Sm (0.914, 0.808, 0.861)
Sm (0.086, 0.192, 0.139)
Sm (0.414, 0.308, 0.361)
Sm (0.586, 0.692, 0.639)

E above lowest polymorph in meV/atom: 0
Formation enthalpy at 0 K in eV/atom: -0.407
DOS(E_F) in states/eV per atom: 0.39

---

# 12
First-principles (PBE) data for crystalline TiVNiPd2 at its relaxed geometry, as listed in Alexandria.

a b c (Å): 4.575 4.252 4.575
angles (deg): 90.00 90.00 90.00
Fractional coordinates of all 5 atoms:
V (0.000, 0.000, 0.000)
Ni (0.000, 0.500, 0.000)
Pd (0.000, 0.000, 0.500)
Pd (0.500, 0.000, 0.000)
Ti (0.500, 0.500, 0.500)

Formation enthalpy at 0 K in eV/atom: 0.696
DOS(E_F) in states/eV per atom: 1.65

---

no.,DFT total energy (eV per atom)
1,-6.648
2,-3.083
3,-8.444
4,-4.124
5,-7.275
6,-5.358
7,-4.884
8,-3.048
9,-10.794
10,-3.571
11,-3.790
12,-5.940